PBE-GGA PbS2BrCl, optimized geometry; DOS at the Fermi energy = 3.5 states/eV/cell; ΔE_f (raw) = 429 meV/atom; symmetry = No. 123; spin magnetization = 0.084 μB per atom; E = -2.668 eV/atom
1.0
5.306 0.000 0.000
0.000 5.306 0.000
0.000 0.000 5.251
Pb S Br Cl
1 2 1 1
Direct
0.500 0.500 0.500 Pb
0.000 0.500 0.000 S
0.500 0.000 0.000 S
0.000 0.000 0.000 Br
0.000 0.000 0.500 Cl